# 1
DFT (PBE) results for a geometry-optimized CrNi14W structure.

POSCAR file:
```
CrNi14W
1.0
5.0484 0.0000 0.0000
0.0000 5.0484 0.0000
0.0000 0.0000 7.0468
Cr Ni W
1 14 1
direct
0.0000 0.0000 0.0000
0.0000 0.0000 0.5000
0.0000 0.5000 0.0000
0.0000 0.5000 0.5000
0.2484 0.2484 0.2511
0.2484 0.2484 0.7489
0.2484 0.7516 0.2511
0.2484 0.7516 0.7489
0.5000 0.0000 0.0000
0.5000 0.0000 0.5000
0.5000 0.5000 0.5000
0.7516 0.2484 0.2511
0.7516 0.2484 0.7489
0.7516 0.7516 0.2511
0.7516 0.7516 0.7489
0.5000 0.5000 0.0000
```

***

# 2
DFT (PBE) results for a geometry-optimized Cr2NiW structure.

POSCAR file:
```
Cr2NiW
1.0
2.5689 0.0000 0.0000
0.0000 2.5689 0.0000
0.0000 0.0000 7.7689
Cr Ni W
2 1 1
direct
0.0000 0.0000 0.0000
0.5000 0.5000 0.2410
0.0000 0.0000 0.4676
0.5000 0.5000 0.7245
```

## Properties
- energy relative to the lowest polymorph listed for this composition (meV/atom) = 99

***

Here are the calculated size of the total moment numbers, same order: 1.7 0.9 (Bohr magnetons per cell).
Here are the calculated E_tot numbers, same order: -6.488 -9.257 (eV/atom).